Record 1
An optimized crystal structure of Er2ScPd. Source: Alexandria via LeMat-Bulk, functional PBE.

Lattice parameters (Å, degrees): 6.3427 6.3427 8.9292 90.00 90.00 146.74
Last column: nearest neighbours and their distance in Å.
Fractional coordinates of all 8 atoms:
Er: 0.1327 0.8673 0.5561  3 Pd 2.88-3.08
Er: 0.1327 0.8673 0.9439  3 Pd 2.88-3.08
Er: 0.8673 0.1327 0.0561  3 Pd 2.88-3.08
Er: 0.8673 0.1327 0.4439  3 Pd 2.88-3.08
Sc: 0.4445 0.5555 0.7500  2 Pd 2.98
Sc: 0.5555 0.4445 0.2500  2 Pd 2.98
Pd: 0.2504 0.7496 0.2500  6 Er 2.88-3.08, 2 Sc 2.98
Pd: 0.7496 0.2504 0.7500  6 Er 2.88-3.08, 2 Sc 2.98

Properties
* distance to the lowest polymorph of the same formula: 0 kJ/mol of formula units
* DFT formation energy: -448.1 meV/atom
* N(E_F): 9.3 states/eV/cell
* calculated volume: 24.6 Å³/atom

Record 2
An optimized crystal structure of MnTcOs2. Source: Alexandria via LeMat-Bulk, functional PBE.

Lattice parameters (Å, degrees): 4.3173 4.3173 4.3173 60.00 60.00 60.00
Last column: nearest neighbours and their distance in Å.
Fractional coordinates of all 4 atoms:
Mn: 0.0000 0.0000 0.0000  4 Tc 2.64, 4 Os 2.64
Tc: 0.2500 0.2500 0.2500  4 Os 2.64, 4 Mn 2.64
Os: 0.5000 0.5000 0.5000  4 Tc 2.64, 4 Os 2.64
Os: 0.7500 0.7500 0.7500  4 Os 2.64, 4 Mn 2.64

Properties
* distance to the lowest polymorph of the same formula: 121 kJ/mol of formula units
* DFT formation energy: 376.6 meV/atom
* N(E_F): 5.1 states/eV/cell
* calculated volume: 14.2 Å³/atom

These records have calculated total energy values of -44.89, -40.49 eV/cell, in the order they appear.